AlGaGe2 | the Alexandria database | PBE-GGA | relaxed; ΔE_f = 0.192 eV/atom; crystal system = cubic; space-group type = Fm-3m, No. 225
1.0
0.0000 3.3410 3.3410
3.3410 0.0000 3.3410
3.3410 3.3410 0.0000
Al Ga Ge
1 1 2
direct
0.0000 0.0000 0.0000 Al
0.5000 0.5000 0.5000 Ga
0.2500 0.2500 0.2500 Ge
0.7500 0.7500 0.7500 Ge